Material: Y8CuPd2
Method: DFT, PBE
State: optimized geometry

- Energy above the lowest structure with this stoichiometry: 0.000 eV per atom
- Energy relative to the elements: -0.34 eV per atom

Cell lengths 5.099, 6.796, 9.162 Å; angles 104.65, 106.15, 90.00 degrees
Atoms (fractional coordinates):
Y (0.203, 0.326, 0.405)
Y (0.333, 0.021, 0.666)
Y (0.967, 0.216, 0.934)
Y (0.797, 0.674, 0.595)
Y (0.667, 0.979, 0.334)
Y (0.591, 0.454, 0.182)
Y (0.033, 0.784, 0.066)
Y (0.409, 0.546, 0.818)
Pd (0.187, 0.729, 0.374)
Pd (0.813, 0.271, 0.626)
Cu (0.500, 0.000, 0.000)

Material: Y2CuPd
Method: DFT, PBE
State: optimized geometry

- Energy relative to the elements: -0.14 eV per atom

Cell lengths 7.468, 7.468, 6.327 Å; angles 53.83, 53.83, 90.00 degrees
Atoms (fractional coordinates):
Cu (0.500, 0.500, 0.000)
Cu (0.250, 0.750, 0.500)
Y (0.126, 0.625, 0.250)
Y (0.875, 0.874, 0.750)
Y (0.624, 0.125, 0.250)
Y (0.375, 0.376, 0.750)
Pd (0.000, 0.000, 0.000)
Pd (0.750, 0.250, 0.500)

Material: YCu3Pd
Method: DFT, PBE
State: optimized geometry

- Energy above the lowest structure with this stoichiometry: 1.104 eV per atom
- Energy relative to the elements: 1.38 eV per atom

Cell lengths 4.950, 4.950, 4.950 Å; angles 90.00, 90.00, 90.00 degrees
Atoms (fractional coordinates):
Cu (0.500, 0.000, 0.000)
Cu (0.000, 0.500, 0.000)
Cu (0.000, 0.000, 0.500)
Y (0.000, 0.000, 0.000)
Pd (0.500, 0.500, 0.500)

Material: Y6Cu5Pd
Method: DFT, PBE
State: optimized geometry

- Energy relative to the elements: -0.35 eV per atom

Cell lengths 4.934, 6.980, 7.819 Å; angles 90.00, 71.61, 90.00 degrees
Atoms (fractional coordinates):
Cu (0.665, 0.500, 0.669)
Cu (0.335, 0.500, 0.331)
Cu (0.000, 0.500, 0.000)
Cu (0.669, 0.000, 0.661)
Cu (0.331, 0.000, 0.339)
Y (0.833, 0.749, 0.333)
Y (0.833, 0.251, 0.333)
Y (0.167, 0.749, 0.667)
Y (0.500, 0.749, 0.000)
Y (0.500, 0.251, 0.000)
Y (0.167, 0.251, 0.667)
Pd (0.000, 0.000, 0.000)

Material: Y2CuPd
Method: DFT, PBE
State: optimized geometry

- Energy relative to the elements: -0.56 eV per atom

Cell lengths 3.492, 3.492, 7.067 Å; angles 90.00, 90.00, 90.00 degrees
Atoms (fractional coordinates):
Cu (0.500, 0.500, 0.000)
Y (0.000, 0.000, 0.248)
Y (0.000, 0.000, 0.752)
Pd (0.500, 0.500, 0.500)

Material: YCu2Pd
Method: DFT, PBE
State: optimized geometry

- Energy relative to the elements: -0.14 eV per atom

Cell lengths 4.066, 4.066, 9.701 Å; angles 77.90, 77.90, 90.00 degrees
Atoms (fractional coordinates):
Cu (0.375, 0.274, 0.750)
Cu (0.024, 0.625, 0.250)
Cu (0.726, 0.125, 0.250)
Cu (0.875, 0.976, 0.750)
Y (0.250, 0.750, 0.500)
Y (0.500, 0.500, 0.000)
Pd (0.750, 0.250, 0.500)
Pd (0.000, 0.000, 0.000)

Material: Y4CuPd12
Method: DFT, PBE
State: optimized geometry

- Energy relative to the elements: -0.78 eV per atom

Cell lengths 7.332, 7.332, 7.332 Å; angles 109.47, 109.47, 109.47 degrees
Atoms (fractional coordinates):
Pd (0.750, 0.250, 0.500)
Pd (0.500, 0.750, 0.250)
Pd (0.250, 0.500, 0.750)
Pd (0.000, 0.288, 0.288)
Pd (0.000, 0.712, 0.712)
Pd (0.250, 0.750, 0.500)
Pd (0.500, 0.250, 0.750)
Pd (0.712, 0.712, 0.000)
Pd (0.750, 0.500, 0.250)
Pd (0.288, 0.288, 0.000)
Pd (0.288, 0.000, 0.288)
Pd (0.712, 0.000, 0.712)
Y (0.000, 0.000, 0.500)
Y (0.500, 0.500, 0.500)
Y (0.000, 0.500, 0.000)
Y (0.500, 0.000, 0.000)
Cu (0.000, 0.000, 0.000)

Material: YCu2Pd2
Method: DFT, PBE
State: optimized geometry

- Energy above the lowest structure with this stoichiometry: 0.031 eV per atom
- Energy relative to the elements: -0.38 eV per atom

Cell lengths 7.151, 7.151, 3.221 Å; angles 90.00, 90.00, 90.00 degrees
Atoms (fractional coordinates):
Y (0.000, 0.000, 0.000)
Y (0.500, 0.500, 0.000)
Cu (0.621, 0.121, 0.000)
Cu (0.121, 0.379, 0.000)
Cu (0.879, 0.621, 0.000)
Cu (0.379, 0.879, 0.000)
Pd (0.328, 0.172, 0.500)
Pd (0.828, 0.328, 0.500)
Pd (0.172, 0.672, 0.500)
Pd (0.672, 0.828, 0.500)

Material: YCu2Pd2
Method: DFT, PBE
State: optimized geometry

- Energy above the lowest structure with this stoichiometry: 0.069 eV per atom
- Energy relative to the elements: -0.34 eV per atom

Cell lengths 7.349, 7.349, 3.070 Å; angles 90.00, 90.00, 90.00 degrees
Atoms (fractional coordinates):
Pd (0.637, 0.137, 0.000)
Pd (0.137, 0.363, 0.000)
Pd (0.863, 0.637, 0.000)
Pd (0.363, 0.863, 0.000)
Cu (0.844, 0.344, 0.500)
Cu (0.156, 0.656, 0.500)
Cu (0.656, 0.844, 0.500)
Cu (0.344, 0.156, 0.500)
Y (0.500, 0.500, 0.000)
Y (0.000, 0.000, 0.000)

Material: Y3Cu2Pd4
Method: DFT, PBE
State: optimized geometry

- Energy relative to the elements: -0.57 eV per atom

Cell lengths 6.753, 7.491, 7.491 Å; angles 84.05, 80.67, 80.67 degrees
Atoms (fractional coordinates):
Cu (0.457, 0.167, 0.479)
Cu (0.043, 0.521, 0.833)
Cu (0.543, 0.833, 0.521)
Cu (0.957, 0.479, 0.167)
Y (0.250, 0.587, 0.413)
Y (0.639, 0.733, 0.984)
Y (0.361, 0.267, 0.016)
Y (0.139, 0.984, 0.733)
Y (0.861, 0.016, 0.267)
Y (0.750, 0.413, 0.587)
Pd (0.148, 0.746, 0.062)
Pd (0.609, 0.391, 0.238)
Pd (0.852, 0.254, 0.938)
Pd (0.891, 0.762, 0.609)
Pd (0.648, 0.062, 0.746)
Pd (0.352, 0.938, 0.254)
Pd (0.391, 0.609, 0.762)
Pd (0.109, 0.238, 0.391)

Material: Y2Cu2Pd
Method: DFT, PBE
State: optimized geometry

- Energy above the lowest structure with this stoichiometry: 0.157 eV per atom
- Energy relative to the elements: -0.31 eV per atom

Cell lengths 3.492, 3.492, 8.750 Å; angles 78.49, 78.49, 90.00 degrees
Atoms (fractional coordinates):
Y (0.604, 0.604, 0.791)
Y (0.396, 0.396, 0.209)
Pd (0.000, 0.000, 0.000)
Cu (0.250, 0.750, 0.500)
Cu (0.750, 0.250, 0.500)

Material: YCu2Pd8
Method: DFT, PBE
State: optimized geometry

- Energy relative to the elements: -0.17 eV per atom

Cell lengths 4.715, 7.337, 6.876 Å; angles 57.76, 77.07, 65.20 degrees
Atoms (fractional coordinates):
Pd (0.500, 0.764, 0.472)
Pd (0.500, 0.236, 0.528)
Pd (0.118, 0.914, 0.761)
Pd (0.882, 0.325, 0.761)
Pd (0.882, 0.086, 0.239)
Pd (0.309, 0.411, 0.000)
Pd (0.118, 0.675, 0.239)
Pd (0.691, 0.589, 0.000)
Y (0.500, 0.000, 0.000)
Cu (0.000, 0.689, 0.621)
Cu (0.000, 0.311, 0.379)

The spin magnetization results, record by record, are as follows: 0.00, 0.00, 0.00, 0.00, 0.00, 0.00, 0.00, 0.00, 0.00, 0.00, 0.00, 0.00 μB/f.u..